La3Pr4Tm2 PBE relaxed; raw total energy = -4.534 eV per atom; mass density = 6.67 g/cm3; offset from the most stable computed form = 1.152 eV/f.u.; formation energy from the elements = 0.227 eV/atom; Fermi-level density of states = 26.8 states/eV/cell
1.0
-2.8894 -4.9065 -4.4822
7.1217 -0.0159 -6.5892
5.4428 -7.5489 2.7381
Pr Tm La
8 4 6
Direct
0.5080 0.4415 0.1770
0.1784 0.7529 0.0443
0.6784 0.0443 0.7529
0.4920 0.5585 0.8230
0.0080 0.1770 0.4415
0.9920 0.8230 0.5585
0.8216 0.2471 0.9557
0.3216 0.9557 0.2471
0.0015 0.4455 0.1729
0.9985 0.5545 0.8271
0.4985 0.8271 0.5545
0.5015 0.1729 0.4455
0.1835 0.0400 0.7558
0.3165 0.2442 0.9599
0.6835 0.7558 0.0401
0.7500 0.4779 0.5221
0.2500 0.5221 0.4779
0.8165 0.9600 0.2442